1.
Here is a relaxed Li2PmNdSn2 crystal from Alexandria via LeMat-Bulk. Energies are from PBE-GGA.

Properties
- Calculated total energy: -0.3102 Ry per atom
- Symmetry: P-3m1 (164)
- Total magnetic moment: 0.00 μB per formula unit
- Calculated volume: 151 Å³/cell
- DFT formation energy: -0.662 eV/atom

a b c (Å): 4.7703 4.7703 7.6452
angles (deg): 90.00 90.00 120.00
Last column: nearest neighbours and their distance in Å.
Fractional coordinates of all 6 atoms:
Li 0.3333 0.6667 0.7419  3 Sn 2.75
Li 0.6667 0.3333 0.2581  3 Sn 2.75
Nd 0.0000 0.0000 0.0000  6 Sn 3.36, 6 Li 3.39
Sn 0.3333 0.6667 0.2526  3 Li 2.75
Sn 0.6667 0.3333 0.7474  3 Li 2.75
Pm 0.0000 0.0000 0.5000  6 Li 3.32, 6 Sn 3.34

=====

2.
Here is a relaxed LiPmNd2Te4 crystal from Alexandria via LeMat-Bulk. Energies are from PBE-GGA.

Properties
- Calculated total energy: -0.3655 Ry per atom
- Symmetry: P2/m (10)
- Total magnetic moment: 0.00 μB per formula unit
- Calculated volume: 249 Å³/cell
- ΔE_f (raw): -1377 meV/atom

a b c (Å): 4.4367 7.7142 7.7124
angles (deg): 70.70 90.00 90.00
Last column: nearest neighbours and their distance in Å.
Fractional coordinates of all 8 atoms:
Li 0.5000 0.5000 0.0000  6 Te 3.06-3.07
Te 0.0000 0.7372 0.7612  2 Li 3.07, 1 Pm 3.14, 3 Nd 3.16-3.22
Te 0.5000 0.2587 0.7556  1 Li 3.06, 2 Pm 3.14, 3 Nd 3.16-3.24
Te 0.5000 0.7413 0.2444  1 Li 3.06, 2 Pm 3.14, 3 Nd 3.16-3.24
Te 0.0000 0.2628 0.2388  2 Li 3.07, 1 Pm 3.14, 3 Nd 3.16-3.22
Pm 0.0000 0.5000 0.5000  6 Te 3.14
Nd 0.0000 0.0000 0.0000  6 Te 3.16
Nd 0.5000 0.0000 0.5000  6 Te 3.22-3.24

=====

3.
Here is a relaxed LiPm4Nd3Te8 crystal from Alexandria via LeMat-Bulk. Energies are from PBE-GGA.

Properties
- Calculated total energy: -0.3797 Ry per atom
- Symmetry: R-3m (166)
- Total magnetic moment: 0.00 μB per formula unit
- Calculated volume: 503 Å³/cell
- ΔE_f (raw): -1394 meV/atom

a b c (Å): 8.9277 8.9253 8.9279
angles (deg): 120.01 120.00 90.00
Last column: nearest neighbours and their distance in Å.
Fractional coordinates of all 16 atoms:
Pm 0.0000 0.0000 0.0000  6 Te 3.15
Pm 0.5000 0.0000 0.5000  6 Te 3.15
Pm 0.5000 0.0000 0.0000  6 Te 3.24
Pm 0.0000 0.0000 0.5000  6 Te 3.15
Te 0.7566 0.2550 0.9984  1 Li 3.07, 3 Pm 3.15-3.24, 2 Nd 3.17
Te 0.2434 0.7450 0.0016  1 Li 3.07, 3 Pm 3.15-3.24, 2 Nd 3.17
Te 0.2435 0.7451 0.4870  1 Li 3.07, 3 Pm 3.15-3.24, 2 Nd 3.17
Te 0.2418 0.2550 0.9984  1 Li 3.07, 3 Pm 3.15-3.24, 2 Nd 3.17
Te 0.7565 0.2549 0.5130  1 Li 3.07, 3 Pm 3.15-3.24, 2 Nd 3.17
Te 0.2492 0.2476 0.4984  3 Pm 3.15, 3 Nd 3.17
Te 0.7582 0.7450 0.0016  1 Li 3.07, 3 Pm 3.15-3.24, 2 Nd 3.17
Te 0.7508 0.7524 0.5016  3 Pm 3.15, 3 Nd 3.17
Li 0.0000 0.5000 0.0000  6 Te 3.07
Nd 0.0000 0.5000 0.5000  6 Te 3.17
Nd 0.5000 0.5000 0.0000  6 Te 3.17
Nd 0.5000 0.5000 0.5000  6 Te 3.17

=====

4.
Here is a relaxed LiPm3Nd2Te6 crystal from Alexandria via LeMat-Bulk. Energies are from PBE-GGA.

Properties
- Calculated total energy: -0.3753 Ry per atom
- Symmetry: C2/m (12)
- Total magnetic moment: 0.00 μB per formula unit
- Calculated volume: 375 Å³/cell
- ΔE_f (raw): -1394 meV/atom

a b c (Å): 4.4534 8.9084 9.9623
angles (deg): 102.92 102.92 90.00
Last column: nearest neighbours and their distance in Å.
Fractional coordinates of all 12 atoms:
Pm 0.5000 0.5000 0.0000  6 Te 3.11-3.22
Pm 0.8307 0.1684 0.6613  6 Te 3.11-3.22
Pm 0.1693 0.8316 0.3387  6 Te 3.11-3.22
Te 0.3395 0.9218 0.6789  1 Li 3.03, 3 Pm 3.16-3.22, 2 Nd 3.19
Te 0.3353 0.4148 0.6707  3 Pm 3.11, 3 Nd 3.14-3.15
Te 0.9992 0.2392 0.9984  2 Li 3.08, 3 Pm 3.19-3.22, 1 Nd 3.20
Te 0.6605 0.0782 0.3211  1 Li 3.03, 3 Pm 3.16-3.22, 2 Nd 3.19
Te 0.0008 0.7608 0.0016  2 Li 3.08, 3 Pm 3.19-3.22, 1 Nd 3.20
Te 0.6647 0.5852 0.3293  3 Pm 3.11, 3 Nd 3.14-3.15
Nd 0.8314 0.6615 0.6629  6 Te 3.14-3.20
Nd 0.1686 0.3385 0.3371  6 Te 3.14-3.20
Li 0.5000 0.0000 0.0000  6 Te 3.03-3.08

=====

5.
Here is a relaxed LiPm3Nd4Te8 crystal from Alexandria via LeMat-Bulk. Energies are from PBE-GGA.

Properties
- Calculated total energy: -0.3800 Ry per atom
- Symmetry: R-3m (166)
- Total magnetic moment: 0.00 μB per formula unit
- Calculated volume: 504 Å³/cell
- ΔE_f (raw): -1397 meV/atom

a b c (Å): 8.9281 8.9339 8.9284
angles (deg): 119.98 120.00 90.00
Last column: nearest neighbours and their distance in Å.
Fractional coordinates of all 16 atoms:
Pm 0.5000 0.5000 0.5000  6 Te 3.15
Pm 0.0000 0.5000 0.5000  6 Te 3.15
Pm 0.5000 0.5000 0.0000  6 Te 3.15
Nd 0.0000 0.0000 0.5000  6 Te 3.17
Nd 0.0000 0.0000 0.0000  6 Te 3.17
Nd 0.5000 0.0000 0.0000  6 Te 3.25-3.26
Nd 0.5000 0.0000 0.5000  6 Te 3.17
Te 0.2439 0.2593 0.0016  1 Li 3.06, 2 Pm 3.15, 3 Nd 3.17-3.26
Te 0.7576 0.2592 0.5153  1 Li 3.06, 2 Pm 3.15, 3 Nd 3.17-3.25
Te 0.7561 0.7407 0.9984  1 Li 3.06, 2 Pm 3.15, 3 Nd 3.17-3.26
Te 0.2508 0.2524 0.5016  3 Pm 3.15, 3 Nd 3.17
Te 0.7577 0.2593 0.0016  1 Li 3.06, 2 Pm 3.15, 3 Nd 3.17-3.26
Te 0.7492 0.7476 0.4984  3 Pm 3.15, 3 Nd 3.17
Te 0.2424 0.7408 0.4847  1 Li 3.06, 2 Pm 3.15, 3 Nd 3.17-3.25
Te 0.2423 0.7407 0.9984  1 Li 3.06, 2 Pm 3.15, 3 Nd 3.17-3.26
Li 0.0000 0.5000 0.0000  6 Te 3.06

=====

6.
Here is a relaxed LiPm2NdTe5 crystal from Alexandria via LeMat-Bulk. Energies are from PBE-GGA.

Properties
- Calculated total energy: -0.3561 Ry per atom
- Symmetry: Cmc2_1 (36)
- Total magnetic moment: 0.00 μB per formula unit
- Calculated volume: 556 Å³/cell
- ΔE_f (raw): -1302 meV/atom

a b c (Å): 4.4284 9.6768 13.3293
angles (deg): 90.00 90.00 103.23
Last column: nearest neighbours and their distance in Å.
Fractional coordinates of all 18 atoms:
Te 0.5018 0.0037 0.2819  1 Li 2.66
Te 0.7162 0.4325 0.1724  2 Nd 3.14, 3 Pm 3.28-3.36
Te 0.4982 0.9963 0.7819  1 Li 2.66
Te 0.9539 0.9079 0.5749  2 Li 2.66
Te 0.0461 0.0921 0.0749  2 Li 2.66
Te 0.2838 0.5675 0.6724  2 Nd 3.14, 3 Pm 3.28-3.36
Te 0.6848 0.3697 0.8395  1 Li 2.99, 2 Nd 3.15
Te 0.3152 0.6303 0.3395  1 Li 2.99, 2 Nd 3.15
Te 0.6336 0.2672 0.4979  1 Nd 3.15, 4 Pm 3.37-3.44
Te 0.3664 0.7328 0.9979  1 Nd 3.15, 4 Pm 3.37-3.44
Pm 0.8943 0.7886 0.1846  8 Te 3.21-3.38
Pm 0.1251 0.2502 0.3008  7 Te 3.22-3.44
Pm 0.8749 0.7498 0.8008  7 Te 3.22-3.44
Pm 0.1057 0.2114 0.6846  8 Te 3.21-3.38
Nd 0.1991 0.3981 0.0067  6 Te 3.02-3.15
Nd 0.8009 0.6019 0.5067  6 Te 3.02-3.15
Li 0.4467 0.8934 0.4653  3 Te 2.66
Li 0.5533 0.1066 0.9653  3 Te 2.66